Record 1
Material: MgBe2Ir
Method: DFT, PBE
State: optimized geometry

Lattice parameters (Å, degrees): 3.630 2.883 4.853 72.77 90.00 90.00
Element x y z (fractional)
Be 0.000 0.176 0.023
Be 0.500 0.053 0.270
Mg 0.500 0.794 0.785
Ir 0.000 0.477 0.422

Results
Calculated formation energy = -0.23 eV/atom
Total magnetization = 0.00 μB per atom
Volume = 49 Å³ per cell
Symmetry = No. 38

***

Record 2
Material: La2MgTl
Method: DFT, PBE
State: optimized geometry

Lattice parameters (Å, degrees): 3.616 4.654 7.343 90.00 90.00 90.00
Element x y z (fractional)
Tl 0.500 0.500 0.750
Mg 0.500 0.500 0.250
La 0.000 0.000 0.994
La 0.000 0.000 0.506

Results
Calculated formation energy = -0.26 eV/atom
Total magnetization = 0.00 μB per atom
Energy relative to the lowest polymorph listed for this composition = 21 meV/atom
Volume = 124 Å³ per cell
Symmetry = No. 47

***

Record 3
Material: LaZn2Te
Method: DFT, PBE
State: optimized geometry

Lattice parameters (Å, degrees): 5.207 4.312 4.815 89.41 90.00 90.00
Element x y z (fractional)
La 0.500 0.250 0.250
Te 0.500 0.750 0.750
Zn 0.000 0.908 0.015
Zn 0.000 0.592 0.485

Results
Total magnetization = 0.00 μB per atom
Uncorrected formation energy = -1.760 eV/f.u.
Volume = 108 Å³ per cell
Symmetry = No. 10

***

Record 4
Material: LiGdCuAg
Method: DFT, PBE
State: optimized geometry

Lattice parameters (Å, degrees): 4.841 4.841 4.841 60.00 60.00 60.00
Last column: magnetic moment on the atom in μB.
Element x y z (fractional)
Gd 0.000 0.000 0.000  7.09
Cu 0.250 0.250 0.250  0.01
Ag 0.750 0.750 0.750  0.01
Li 0.500 0.500 0.500  0.00

Results
Calculated formation energy = -0.11 eV/atom
Total magnetization = 1.82 μB per atom
Volume = 80 Å³ per cell
Symmetry = No. 216

***

Record 5
Material: Cs2Pu2Br5
Method: DFT, PBE
State: optimized geometry

Lattice parameters (Å, degrees): 5.970 8.497 8.641 109.27 90.00 110.57
Last column: magnetic moment on the atom in μB.
Element x y z (fractional)
Cs 0.395 0.789 0.684  -0.01
Cs 0.605 0.211 0.316  -0.01
Pu 0.168 0.336 0.911  -5.92
Pu 0.832 0.664 0.089  -5.92
Br 0.360 0.719 0.111  0.03
Br 0.640 0.281 0.889  0.03
Br 0.151 0.302 0.567  0.01
Br 0.849 0.698 0.433  0.01
Br 0.000 0.000 0.000  0.02

Results
Total magnetization = 1.44 μB per atom
Uncorrected formation energy = -12.218 eV/f.u.
Volume = 384 Å³ per cell
Symmetry = No. 12

***

Record 6
Material: Sn3Hg
Method: DFT, PBE
State: optimized geometry

Lattice parameters (Å, degrees): 3.437 5.870 6.356 117.50 105.69 90.00
Element x y z (fractional)
Hg 0.000 0.002 0.000
Sn 0.241 0.562 0.481
Sn 0.500 0.523 0.000
Sn 0.759 0.080 0.519

Results
Calculated formation energy = 0.08 eV/atom
Total magnetization = 0.00 μB per atom
Volume = 108 Å³ per cell
Symmetry = No. 44

***

Record 7
Material: DyAg2TeSe4
Method: DFT, PBE
State: optimized geometry

Lattice parameters (Å, degrees): 8.202 8.202 8.177 119.78 119.78 87.34
Element x y z (fractional)
Dy 0.000 0.500 0.000
Dy 0.000 0.500 0.500
Ag 0.500 0.000 0.000
Ag 0.500 0.000 0.500
Ag 0.000 0.000 0.500
Ag 0.500 0.500 0.000
Te 0.500 0.500 0.500
Te 0.000 0.000 0.000
Se 0.238 0.736 0.987
Se 0.764 0.262 0.513
Se 0.236 0.738 0.487
Se 0.762 0.264 0.013
Se 0.780 0.793 0.046
Se 0.707 0.720 0.454
Se 0.293 0.280 0.546
Se 0.220 0.207 0.954

Results
Total magnetization = 0.00 μB per atom
Uncorrected formation energy = -4.409 eV/f.u.
Volume = 400 Å³ per cell
Symmetry = No. 15

***

Record 8
Material: LiHo2Ga3Cu4
Method: DFT, PBE
State: optimized geometry

Lattice parameters (Å, degrees): 4.097 4.097 10.230 90.00 90.00 90.00
Element x y z (fractional)
Li 0.500 0.500 0.500
Ho 0.500 0.000 0.237
Ho 0.000 0.500 0.763
Ga 0.000 0.000 0.500
Ga 0.500 0.000 0.869
Ga 0.000 0.500 0.131
Cu 0.500 0.500 0.000
Cu 0.000 0.000 0.000
Cu 0.500 0.000 0.636
Cu 0.000 0.500 0.364

Results
Calculated formation energy = -0.35 eV/atom
Total magnetization = 0.00 μB per atom
Volume = 172 Å³ per cell
Symmetry = No. 115

***

Record 9
Material: LaPd2Au
Method: DFT, PBE
State: optimized geometry

Lattice parameters (Å, degrees): 4.340 4.340 9.945 77.40 77.40 90.00
Element x y z (fractional)
Au 0.000 0.000 0.000
Au 0.750 0.250 0.500
Pd 0.663 0.125 0.250
Pd 0.087 0.625 0.250
Pd 0.375 0.337 0.750
Pd 0.875 0.913 0.750
La 0.500 0.500 0.000
La 0.250 0.750 0.500

Results
Calculated formation energy = -0.49 eV/atom
Total magnetization = 0.00 μB per atom
Volume = 178 Å³ per cell
Symmetry = No. 122

***

Record 10
Material: Tl2AsPd
Method: DFT, PBE
State: optimized geometry

Lattice parameters (Å, degrees): 5.027 5.027 5.027 60.00 60.00 60.00
Element x y z (fractional)
Tl 0.250 0.250 0.250
Tl 0.750 0.750 0.750
As 0.000 0.000 0.000
Pd 0.500 0.500 0.500

Results
Calculated formation energy = 0.17 eV/atom
Total magnetization = 0.00 μB per atom
Energy relative to the lowest polymorph listed for this composition = 338 meV/atom
Volume = 90 Å³ per cell
Symmetry = No. 225

***

Record 11
Material: DyBeAu2
Method: DFT, PBE
State: optimized geometry

Lattice parameters (Å, degrees): 4.182 4.182 5.644 68.26 68.26 60.00
Element x y z (fractional)
Be 0.500 0.500 0.500
Au 0.783 0.783 0.651
Au 0.217 0.217 0.349
Dy 0.000 0.000 0.000

Results
Calculated formation energy = -0.49 eV/atom
Total magnetization = 0.00 μB per atom
Volume = 77 Å³ per cell
Symmetry = No. 166

***

Record 12
Material: AlTl2Cu
Method: DFT, PBE
State: optimized geometry

Lattice parameters (Å, degrees): 4.786 4.786 6.001 76.21 76.21 42.01
Element x y z (fractional)
Tl 0.990 0.990 0.015
Tl 0.510 0.510 0.485
Al 0.750 0.750 0.750
Cu 0.250 0.250 0.250

Results
Calculated formation energy = 0.34 eV/atom
Total magnetization = 0.00 μB per atom
Energy relative to the lowest polymorph listed for this composition = 217 meV/atom
Volume = 89 Å³ per cell
Symmetry = No. 12